Record 1
First-principles (PBE-GGA) data for LaTeBr2 after structural relaxation, as listed in Alexandria via LeMat-Bulk.

For the formation energy without anion corrections, the calculation gives -1122 meV/atom. The total magnetic moment comes out at 0.0 μB per formula unit. The space group is No. 122. For the electronic total energy, the calculation gives -3.98 eV/atom.

Cell: 4.931 4.931 11.191 Å, 77.27 77.27 90.00°
Element x y z (fractional)
Te: 0.500 0.500 0.000
Te: 0.250 0.750 0.500
Br: 0.646 0.125 0.250
Br: 0.104 0.625 0.250
Br: 0.375 0.354 0.750
Br: 0.875 0.896 0.750
La: 0.000 0.000 0.000
La: 0.750 0.250 0.500

Record 2
First-principles (PBE-GGA) data for LaTe2Br after structural relaxation, as listed in Alexandria via LeMat-Bulk.

For the formation energy without anion corrections, the calculation gives -1047 meV/atom. The total magnetic moment comes out at 0.0 μB per formula unit. The space group is No. 65. For the electronic total energy, the calculation gives -4.27 eV/atom.

Cell: 4.740 4.740 5.464 Å, 90.02 90.02 100.32°
Element x y z (fractional)
Te: 0.000 0.000 0.000
Te: 0.500 0.500 0.000
Br: 0.500 0.000 0.500
La: 0.000 0.500 0.500